A crystal of LuPaO4 relaxed with PBEsol. Source: Alexandria, functional SCAN.

The calculation puts the uncorrected formation energy at -4.05 eV/atom.

The space group is P4/mmm (No. 123) and the conventional cell measures 3.734, 3.734 and 5.240 Å, with angles of 90.00, 90.00 and 90.00 degrees. The distinct sites, in fractional coordinates, are Lu at (0.000, 0.000, 0.000), Pa at (0.500, 0.500, 0.500) and O at (0.000, 0.500, 0.254).

A crystal of Li2FeNiP2O8 relaxed with PBEsol. Source: Alexandria, functional SCAN.

The calculation puts the uncorrected formation energy at -2.27 eV/atom.

The space group is P2_1/m (No. 11) and the conventional cell measures 4.677, 5.908 and 10.051 Å, with angles of 90.00, 90.49 and 90.00 degrees. The distinct sites, in fractional coordinates, are Li at (0.000, 0.000, 0.000), Li at (0.500, 0.000, 0.500), Fe at (0.019, 0.250, 0.277), Ni at (0.478, 0.250, 0.777), P at (0.077, 0.750, 0.403), P at (0.420, 0.750, 0.908), O at (0.206, 0.750, 0.546), O at (0.211, 0.540, 0.332), O at (0.251, 0.250, 0.598), O at (0.253, 0.250, 0.096), O at (0.279, 0.543, 0.834) and O at (0.298, 0.750, 0.050).

A crystal of TlTe2Au relaxed with PBEsol. Source: Alexandria, functional SCAN.

The calculation puts the uncorrected formation energy at 0.20 eV/atom.

The space group is P4/mmm (No. 123) and the conventional cell measures 5.806, 5.806 and 3.073 Å, with angles of 90.00, 90.00 and 90.00 degrees. The distinct sites, in fractional coordinates, are Tl at (0.000, 0.000, 0.000), Te at (0.000, 0.500, 0.500) and Au at (0.500, 0.500, 0.000).

A crystal of MgP2SeS relaxed with PBEsol. Source: Alexandria, functional SCAN.

The calculation puts the uncorrected formation energy at 0.73 eV/atom.

The space group is P4/mmm (No. 123) and the conventional cell measures 4.701, 4.701 and 4.795 Å, with angles of 90.00, 90.00 and 90.00 degrees. The distinct sites, in fractional coordinates, are Mg at (0.000, 0.000, 0.000), P at (0.000, 0.500, 0.500), Se at (0.500, 0.500, 0.500) and S at (0.500, 0.500, 0.000).

A crystal of Er2Fe12P7 relaxed with PBEsol. Source: Alexandria, functional SCAN.

Its formation energy is -645 meV/atom.

The space group is P-6 (No. 174) and the conventional cell measures 8.7989, 8.7989 and 3.5810 Å, with angles of 90.00, 90.00 and 120.00 degrees. The distinct sites, in fractional coordinates, are Er at (0.0000, 0.0000, 0.0000), Er at (0.3333, 0.6667, 0.5000), Fe at (0.0362, 0.7592, 0.5000), Fe at (0.0993, 0.3824, 0.0000), Fe at (0.4549, 0.2378, 0.0000), Fe at (0.5120, 0.0592, 0.5000), P at (0.0677, 0.6230, 0.0000), P at (0.2554, 0.0354, 0.5000) and P at (0.6667, 0.3333, 0.5000).

A crystal of BaTa2In relaxed with PBEsol. Source: Alexandria, functional SCAN.

The value obtained for the excess energy over the best structure of this formula in the dataset is 260 meV per atom. Its formation energy is 749 meV/atom.

The space group is Pmmm (No. 47) and the conventional cell measures 3.198, 4.204 and 7.473 Å, with angles of 90.00, 90.00 and 90.00 degrees. The distinct sites, in fractional coordinates, are Ba at (0.000, 0.000, 0.000), Ta at (0.500, 0.500, 0.331) and In at (0.000, 0.000, 0.500).

A crystal of MnRh2W relaxed with PBEsol. Source: Alexandria, functional SCAN.

The value obtained for the excess energy over the best structure of this formula in the dataset is 42 meV per atom. Its formation energy is -238 meV/atom.

The space group is P4/mmm (No. 123) and the conventional cell measures 3.760, 3.760 and 3.766 Å, with angles of 90.00, 90.00 and 90.00 degrees. The distinct sites, in fractional coordinates, are Mn at (0.000, 0.000, 0.000), Rh at (0.000, 0.500, 0.500) and W at (0.500, 0.500, 0.000).

A crystal of CuPt relaxed with PBEsol. Source: Alexandria, functional SCAN.

Its formation energy is -93 meV/atom.

The space group is R-3m (No. 166, hexagonal axes) and the conventional cell measures 2.6820, 2.6820 and 25.7859 Å, with angles of 90.00, 90.00 and 120.00 degrees. The distinct sites, in fractional coordinates, are Cu at (0.0000, 0.0000, 0.1290) and Pt at (0.0000, 0.0000, 0.3802).

Calculated values (eV/atom) of E for the records, taken in order: -34.04, -10.10, -53.80, -10.36, -19.27, -50.78, -39.11, -42.79.
Calculated values (μB/f.u.) of spin magnetization for the records, taken in order: 0.0, 6.0, 0.0, 0.0, 1.7, 0.0, 1.8, 0.0.